NaZrS3 PBE relaxed; E above lowest polymorph = 0.006 eV/atom; magnetic moment = 1.67 μB per cell; formation energy (no corrections) = -1.013 eV per atom; space-group type = Cmc2_1, No. 36
1.0
3.7555 0.0000 0.0000
0.0000 7.0715 0.0000
-1.8777 0.0000 9.2992
Na Zr S
2 2 6
Direct
0.8643 0.9836 0.7285
0.1357 0.4836 0.2715
0.3296 0.5252 0.6593
0.6704 0.0252 0.3407
0.8959 0.3663 0.7919
0.1041 0.8663 0.2081
0.5717 0.2436 0.1433
0.4283 0.7436 0.8567
0.7459 0.6755 0.4917
0.2541 0.1755 0.5083



TiSiIN2 PBE relaxed; E above lowest polymorph = 0.000 eV/atom; magnetic moment = 0.00 μB per cell; formation energy (no corrections) = 0.690 eV per atom; space-group type = P4/mmm, No. 123
1.0
-0.4124 2.0233 3.4081
-0.7412 -3.4054 1.9320
5.5163 -0.6148 1.0326
I Si N Ti
1 1 2 1
Direct
0.0000 0.0000 0.5000
0.5000 0.5000 0.5000
0.0000 0.5000 0.0000
0.5000 0.0000 0.0000
0.0000 0.0000 0.0000



Ti2GaSi2 PBE relaxed; magnetic moment = 0.00 μB per cell; formation energy (no corrections) = -0.326 eV per atom; space-group type = I4/mmm, No. 139
1.0
-0.3648 2.6910 2.0412
-2.1131 1.4198 -2.2495
-6.7068 -1.0804 3.0528
Si Ga Ti
2 1 2
Direct
0.7500 0.2500 0.5000
0.2500 0.7500 0.5000
0.0000 0.0000 0.0000
0.3923 0.3923 0.2153
0.6077 0.6077 0.7847



CuHgGePd2 PBE relaxed; magnetic moment = 0.00 μB per cell; space-group type = P4/mmm, No. 123; DFT formation energy = 0.60 eV/atom
1.0
4.7020 0.0000 0.0000
0.0000 4.7602 0.0000
0.0000 0.0000 4.7020
Ge Cu Hg Pd
1 1 1 2
Direct
0.5000 0.5000 0.5000
0.0000 0.0000 0.0000
0.0000 0.5000 0.0000
0.0000 0.0000 0.5000
0.5000 0.0000 0.0000



MgCr2W PBE relaxed; E above lowest polymorph = 0.235 eV/atom; magnetic moment = 2.27 μB per cell; space-group type = R-3m, No. 166; DFT formation energy = 0.56 eV/atom
1.0
8.6470 0.0026 0.0015
8.1508 2.8869 0.0015
8.1508 1.4021 2.5235
Cr Mg W
2 1 1
Direct
0.0092 0.0092 0.0092
0.4908 0.4908 0.4908
0.2500 0.2500 0.2500
0.7500 0.7500 0.7500



CaMgH PBE relaxed; E above lowest polymorph = 0.261 eV/atom; magnetic moment = 0.00 μB per cell; space-group type = I4mm, No. 107
1.0
3.2502 0.0000 0.0000
0.0000 3.2502 0.0000
-1.6251 -1.6251 6.2729
H Ca Mg
1 1 1
Direct
0.2513 0.2513 0.5026
0.7317 0.7317 0.4633
0.0171 0.0171 0.0341



InIr2Cl PBE relaxed; E above lowest polymorph = 0.552 eV/atom; magnetic moment = 1.15 μB per cell; formation energy (no corrections) = 0.726 eV per atom; space-group type = F-43m, No. 216
1.0
-2.3266 0.1060 -3.9871
1.6212 -2.2693 -3.6801
-2.1622 -3.7891 -1.5128
Cl Ir In
1 2 1
Direct
0.5000 0.5000 0.5000
0.0000 0.0000 0.0000
0.2500 0.2500 0.2500
0.7500 0.7500 0.7500



La5Er4 PBE relaxed; E above lowest polymorph = 0.000 eV/atom; magnetic moment = 0.00 μB per cell; space-group type = I4/mmm, No. 139; DFT formation energy = 0.03 eV/atom
1.0
4.9212 0.0000 1.5514
2.4606 7.6985 0.7757
0.1460 0.0000 8.1180
La Er
5 4
Direct
0.6689 0.3311 0.3311
0.3311 0.6689 0.6689
0.0000 0.0000 0.0000
0.0000 0.6689 0.3311
0.0000 0.3311 0.6689
0.6662 0.0000 0.6675
0.3338 0.3325 0.0000
0.3338 0.0000 0.3325
0.6662 0.6675 0.0000



no.,D(E_F) (states/eV/f.u.),electronic total energy (eV/atom)
1,2.888,-5.462
2,3.213,-5.613
3,2.273,-6.258
4,2.773,-3.279
5,4.615,-7.886
6,1.733,-2.354
7,4.977,-4.851
8,13.294,-4.737